# 1
A geometry-optimized BaMg3Cd structure, computed with GGA-PBE.

```
data_BaMg3Cd
_chemical_formula_sum 'Ba1 Mg3 Cd1'
_cell_length_a 6.966
_cell_length_b 6.966
_cell_length_c 6.966
_cell_angle_alpha 90.00
_cell_angle_beta 90.00
_cell_angle_gamma 90.00
_symmetry_space_group_name_H-M 'P m -3 m'
_symmetry_Int_Tables_number 221
_symmetry_space_group_name_Hall '-P 4 2 3'
loop_
_atom_site_label
_atom_site_type_symbol
_atom_site_fract_x
_atom_site_fract_y
_atom_site_fract_z
Ba1 Ba 0.000 0.000 0.000
Mg1 Mg 0.000 0.000 0.500
Cd1 Cd 0.500 0.500 0.500
```

spin magnetization = 0.0 μB/cell
electronic total energy = -0.58 eV per atom
energy of formation = 948.5 meV/atom
energy above the most stable polymorph in this dataset = 1.0500 eV/atom

# 2
A geometry-optimized Ba3Mg9Cd2 structure, computed with GGA-PBE.

```
data_Ba3Mg9Cd2
_chemical_formula_sum 'Ba6 Mg18 Cd4'
_cell_length_a 5.171
_cell_length_b 10.896
_cell_length_c 15.225
_cell_angle_alpha 90.00
_cell_angle_beta 90.00
_cell_angle_gamma 90.00
_symmetry_space_group_name_H-M 'I m m m'
_symmetry_Int_Tables_number 71
_symmetry_space_group_name_Hall '-I 2 2'
loop_
_atom_site_label
_atom_site_type_symbol
_atom_site_fract_x
_atom_site_fract_y
_atom_site_fract_z
Ba1 Ba 0.000 0.000 0.000
Ba2 Ba 0.000 0.000 0.305
Mg1 Mg 0.000 0.287 0.124
Mg2 Mg 0.000 0.352 0.330
Mg3 Mg 0.000 0.500 0.000
Cd1 Cd 0.000 0.205 0.500
```

spin magnetization = 0.0 μB/cell
electronic total energy = -1.65 eV per atom
energy of formation = -78.8 meV/atom

# 3
A geometry-optimized Ba2Mg15Cd2 structure, computed with GGA-PBE.

```
data_Ba2Mg15Cd2
_chemical_formula_sum 'Ba6 Mg45 Cd6'
_cell_length_a 10.5773
_cell_length_b 10.5773
_cell_length_c 15.4929
_cell_angle_alpha 90.00
_cell_angle_beta 90.00
_cell_angle_gamma 120.00
_symmetry_space_group_name_H-M 'R -3 m'
_symmetry_Int_Tables_number 166
_symmetry_space_group_name_Hall '-R 3 2"'
loop_
_atom_site_label
_atom_site_type_symbol
_atom_site_fract_x
_atom_site_fract_y
_atom_site_fract_z
Ba1 Ba 0.0000 0.0000 0.1636
Mg1 Mg 0.0000 0.2919 0.5000
Mg2 Mg 0.0000 0.5000 0.0000
Mg3 Mg 0.0012 0.5006 0.3463
Cd1 Cd 0.0000 0.0000 0.4015
```

spin magnetization = 0.0 μB/cell
electronic total energy = -1.65 eV per atom
energy of formation = -93.7 meV/atom

# 4
A geometry-optimized Ba6MgCd5 structure, computed with GGA-PBE.

```
data_Ba6MgCd5
_chemical_formula_sum 'Ba12 Mg2 Cd10'
_cell_length_a 6.064
_cell_length_b 8.499
_cell_length_c 18.198
_cell_angle_alpha 90.00
_cell_angle_beta 90.00
_cell_angle_gamma 90.00
_symmetry_space_group_name_H-M 'I m m m'
_symmetry_Int_Tables_number 71
_symmetry_space_group_name_Hall '-I 2 2'
loop_
_atom_site_label
_atom_site_type_symbol
_atom_site_fract_x
_atom_site_fract_y
_atom_site_fract_z
Ba1 Ba 0.000 0.244 0.000
Ba2 Ba 0.000 0.253 0.331
Mg1 Mg 0.000 0.000 0.500
Cd1 Cd 0.000 0.000 0.166
Cd2 Cd 0.000 0.500 0.161
Cd3 Cd 0.000 0.500 0.500
```

spin magnetization = 0.0 μB/cell
electronic total energy = -1.75 eV per atom
energy of formation = -277.9 meV/atom

# 5
A geometry-optimized BaMg6Cd3 structure, computed with GGA-PBE.

```
data_BaMg6Cd3
_chemical_formula_sum 'Ba2 Mg12 Cd6'
_cell_length_a 10.731
_cell_length_b 4.771
_cell_length_c 11.035
_cell_angle_alpha 90.00
_cell_angle_beta 100.78
_cell_angle_gamma 90.00
_symmetry_space_group_name_H-M 'P 1 21/m 1'
_symmetry_Int_Tables_number 11
_symmetry_space_group_name_Hall '-P 2yb'
loop_
_atom_site_label
_atom_site_type_symbol
_atom_site_fract_x
_atom_site_fract_y
_atom_site_fract_z
Ba1 Ba 0.020 0.250 0.202
Mg1 Mg 0.106 0.750 0.478
Mg2 Mg 0.207 0.250 0.664
Mg3 Mg 0.220 0.250 0.943
Mg4 Mg 0.383 0.250 0.200
Mg5 Mg 0.414 0.750 0.561
Mg6 Mg 0.498 0.250 0.913
Cd1 Cd 0.224 0.750 0.097
Cd2 Cd 0.297 0.250 0.430
Cd3 Cd 0.330 0.750 0.813
```

spin magnetization = 0.0 μB/cell
electronic total energy = -1.45 eV per atom
energy of formation = -26.5 meV/atom

# 6
A geometry-optimized BaMg4Cd2 structure, computed with GGA-PBE.

```
data_BaMg4Cd2
_chemical_formula_sum 'Ba3 Mg12 Cd6'
_cell_length_a 4.9668
_cell_length_b 4.9668
_cell_length_c 27.7803
_cell_angle_alpha 90.00
_cell_angle_beta 90.00
_cell_angle_gamma 120.00
_symmetry_space_group_name_H-M 'R -3 m'
_symmetry_Int_Tables_number 166
_symmetry_space_group_name_Hall '-R 3 2"'
loop_
_atom_site_label
_atom_site_type_symbol
_atom_site_fract_x
_atom_site_fract_y
_atom_site_fract_z
Ba1 Ba 0.0000 0.0000 0.0000
Mg1 Mg 0.0000 0.0000 0.1402
Mg2 Mg 0.0000 0.0000 0.4342
Cd1 Cd 0.0000 0.0000 0.2488
```

spin magnetization = 0.0 μB/cell
electronic total energy = -1.58 eV per atom
energy of formation = -132.7 meV/atom
energy above the most stable polymorph in this dataset = 0.0000 eV/atom

# 7
A geometry-optimized Ba2Mg5Cd4 structure, computed with GGA-PBE.

```
data_Ba2Mg5Cd4
_chemical_formula_sum 'Ba8 Mg20 Cd16'
_cell_length_a 6.568
_cell_length_b 10.939
_cell_length_c 17.994
_cell_angle_alpha 90.00
_cell_angle_beta 90.00
_cell_angle_gamma 90.00
_symmetry_space_group_name_H-M 'F m m m'
_symmetry_Int_Tables_number 69
_symmetry_space_group_name_Hall '-F 2 2'
loop_
_atom_site_label
_atom_site_type_symbol
_atom_site_fract_x
_atom_site_fract_y
_atom_site_fract_z
Ba1 Ba 0.000 0.000 0.134
Mg1 Mg 0.000 0.000 0.500
Mg2 Mg 0.250 0.250 0.000
Mg3 Mg 0.250 0.250 0.250
Cd1 Cd 0.000 0.148 0.369
```

spin magnetization = 0.0 μB/cell
electronic total energy = -1.57 eV per atom
energy of formation = -166.9 meV/atom
energy above the most stable polymorph in this dataset = 0.0000 eV/atom

# 8
A geometry-optimized BaMg2Cd6 structure, computed with GGA-PBE.

```
data_BaMg2Cd6
_chemical_formula_sum 'Ba1 Mg2 Cd6'
_cell_length_a 9.0210
_cell_length_b 9.0210
_cell_length_c 3.3166
_cell_angle_alpha 90.00
_cell_angle_beta 90.00
_cell_angle_gamma 120.00
_symmetry_space_group_name_H-M 'P 6/m m m'
_symmetry_Int_Tables_number 191
_symmetry_space_group_name_Hall '-P 6 2'
loop_
_atom_site_label
_atom_site_type_symbol
_atom_site_fract_x
_atom_site_fract_y
_atom_site_fract_z
Ba1 Ba 0.0000 0.0000 0.0000
Mg1 Mg 0.3333 0.6667 0.0000
Cd1 Cd 0.0000 0.3434 0.5000
```

spin magnetization = 0.0 μB/cell
electronic total energy = -1.24 eV per atom
energy of formation = -65.2 meV/atom
energy above the most stable polymorph in this dataset = 0.0615 eV/atom

# 9
A geometry-optimized BaMg3Cd structure, computed with GGA-PBE.

```
data_BaMg3Cd
_chemical_formula_sum 'Ba2 Mg6 Cd2'
_cell_length_a 7.3523
_cell_length_b 7.3523
_cell_length_c 6.4103
_cell_angle_alpha 90.00
_cell_angle_beta 90.00
_cell_angle_gamma 120.00
_symmetry_space_group_name_H-M 'P 63/m m c'
_symmetry_Int_Tables_number 194
_symmetry_space_group_name_Hall '-P 6c 2c'
loop_
_atom_site_label
_atom_site_type_symbol
_atom_site_fract_x
_atom_site_fract_y
_atom_site_fract_z
Ba1 Ba 0.3333 0.6667 0.2500
Mg1 Mg 0.1904 0.3807 0.7500
Cd1 Cd 0.0000 0.0000 0.0000
```

spin magnetization = 0.0 μB/cell
electronic total energy = -1.58 eV per atom
energy of formation = -58.7 meV/atom
energy above the most stable polymorph in this dataset = 0.0428 eV/atom

# 10
A geometry-optimized BaMg6Cd structure, computed with GGA-PBE.

```
data_BaMg6Cd
_chemical_formula_sum 'Ba1 Mg6 Cd1'
_cell_length_a 4.854
_cell_length_b 4.854
_cell_length_c 10.048
_cell_angle_alpha 90.00
_cell_angle_beta 90.00
_cell_angle_gamma 90.00
_symmetry_space_group_name_H-M 'P 4/m m m'
_symmetry_Int_Tables_number 123
_symmetry_space_group_name_Hall '-P 4 2'
loop_
_atom_site_label
_atom_site_type_symbol
_atom_site_fract_x
_atom_site_fract_y
_atom_site_fract_z
Ba1 Ba 0.000 0.000 0.000
Mg1 Mg 0.000 0.500 0.337
Mg2 Mg 0.500 0.500 0.149
Cd1 Cd 0.000 0.000 0.500
```

spin magnetization = 0.0 μB/cell
electronic total energy = -1.54 eV per atom
energy of formation = 13.8 meV/atom
energy above the most stable polymorph in this dataset = 0.0282 eV/atom

# 11
A geometry-optimized Ba2Mg6Cd structure, computed with GGA-PBE.

```
data_Ba2Mg6Cd
_chemical_formula_sum 'Ba4 Mg12 Cd2'
_cell_length_a 10.973
_cell_length_b 6.981
_cell_length_c 7.267
_cell_angle_alpha 90.00
_cell_angle_beta 97.89
_cell_angle_gamma 90.00
_symmetry_space_group_name_H-M 'C 1 2/m 1'
_symmetry_Int_Tables_number 12
_symmetry_space_group_name_Hall '-C 2y'
loop_
_atom_site_label
_atom_site_type_symbol
_atom_site_fract_x
_atom_site_fract_y
_atom_site_fract_z
Ba1 Ba 0.160 0.000 0.380
Mg1 Mg 0.116 0.225 0.862
Mg2 Mg 0.126 0.500 0.175
Cd1 Cd 0.000 0.500 0.500
```

spin magnetization = 0.0 μB/cell
electronic total energy = -1.67 eV per atom
energy of formation = -77.0 meV/atom

# 12
A geometry-optimized BaMg2Cd8 structure, computed with GGA-PBE.

```
data_BaMg2Cd8
_chemical_formula_sum 'Ba1 Mg2 Cd8'
_cell_length_a 7.578
_cell_length_b 7.578
_cell_length_c 5.761
_cell_angle_alpha 90.00
_cell_angle_beta 90.00
_cell_angle_gamma 90.00
_symmetry_space_group_name_H-M 'P 4/m m m'
_symmetry_Int_Tables_number 123
_symmetry_space_group_name_Hall '-P 4 2'
loop_
_atom_site_label
_atom_site_type_symbol
_atom_site_fract_x
_atom_site_fract_y
_atom_site_fract_z
Ba1 Ba 0.000 0.000 0.000
Mg1 Mg 0.000 0.500 0.500
Cd1 Cd 0.300 0.300 0.248
```

spin magnetization = 0.0 μB/cell
electronic total energy = -1.09 eV per atom
energy of formation = 39.8 meV/atom